(1)
# LaLuSi4Ni2 PBE optimized geometry
# Symmetry: Amm2, No. 38
data_LaLuSi4Ni2
_cell_length_a 4.0157
_cell_length_b 8.4969
_cell_length_c 8.4969
_cell_angle_alpha 27.70
_cell_angle_beta 90.00
_cell_angle_gamma 90.00
_space_group_name_H-M_alt 'P 1'
_space_group_IT_number 1
_space_group_name_Hall 'P 1'
loop_
_atom_site_label
_atom_site_type_symbol
_atom_site_fract_x
_atom_site_fract_y
_atom_site_fract_z
La1 La 0.0000 0.0000 0.0000
Lu1 Lu 0.5000 0.2127 0.2127
Si1 Si 0.0000 0.3518 0.3518
Si2 Si 0.0000 0.6477 0.6477
Si3 Si 0.5000 0.5688 0.5688
Si4 Si 0.5000 0.8523 0.8523
Ni1 Ni 0.0000 0.7830 0.7830
Ni2 Ni 0.5000 0.4246 0.4246

(2)
# DyMg2 PBE optimized geometry
# Symmetry: Pmmn, No. 59
data_DyMg2
_cell_length_a 5.3444
_cell_length_b 10.5222
_cell_length_c 5.5892
_cell_angle_alpha 90.00
_cell_angle_beta 90.00
_cell_angle_gamma 90.00
_space_group_name_H-M_alt 'P 1'
_space_group_IT_number 1
_space_group_name_Hall 'P 1'
loop_
_atom_site_label
_atom_site_type_symbol
_atom_site_fract_x
_atom_site_fract_y
_atom_site_fract_z
Dy1 Dy 0.2500 0.0876 0.0892
Dy2 Dy 0.2500 0.4124 0.0892
Dy3 Dy 0.7500 0.5876 0.9108
Dy4 Dy 0.7500 0.9124 0.9108
Mg1 Mg 0.2500 0.2500 0.5982
Mg2 Mg 0.2500 0.5942 0.5661
Mg3 Mg 0.2500 0.7500 0.0644
Mg4 Mg 0.2500 0.9058 0.5661
Mg5 Mg 0.7500 0.0942 0.4339
Mg6 Mg 0.7500 0.2500 0.9356
Mg7 Mg 0.7500 0.4058 0.4339
Mg8 Mg 0.7500 0.7500 0.4018

(3)
# Cs2CuBiCl6 PBE optimized geometry
# Symmetry: Fm-3m, No. 225
data_Cs2CuBiCl6
_cell_length_a 7.4558
_cell_length_b 7.4558
_cell_length_c 7.4558
_cell_angle_alpha 60.00
_cell_angle_beta 60.00
_cell_angle_gamma 60.00
_space_group_name_H-M_alt 'P 1'
_space_group_IT_number 1
_space_group_name_Hall 'P 1'
loop_
_atom_site_label
_atom_site_type_symbol
_atom_site_fract_x
_atom_site_fract_y
_atom_site_fract_z
Cs1 Cs 0.2500 0.2500 0.2500
Cs2 Cs 0.7500 0.7500 0.7500
Cu1 Cu 0.0000 0.0000 0.0000
Bi1 Bi 0.5000 0.5000 0.5000
Cl1 Cl 0.2396 0.2396 0.7604
Cl2 Cl 0.2396 0.7604 0.2396
Cl3 Cl 0.2396 0.7604 0.7604
Cl4 Cl 0.7604 0.2396 0.2396
Cl5 Cl 0.7604 0.2396 0.7604
Cl6 Cl 0.7604 0.7604 0.2396

(4)
# GdDy2In3Cu3 PBE optimized geometry
# Symmetry: Amm2, No. 38
data_GdDy2In3Cu3
_cell_length_a 3.8759
_cell_length_b 7.5333
_cell_length_c 7.5333
_cell_angle_alpha 120.03
_cell_angle_beta 90.00
_cell_angle_gamma 90.00
_space_group_name_H-M_alt 'P 1'
_space_group_IT_number 1
_space_group_name_Hall 'P 1'
loop_
_atom_site_label
_atom_site_type_symbol
_atom_site_fract_x
_atom_site_fract_y
_atom_site_fract_z
Gd1 Gd 0.0000 0.0000 0.0000
Dy1 Dy 0.0000 0.4099 0.8197
Dy2 Dy 0.0000 0.8197 0.4099
In1 In 0.5000 0.1548 0.4111
In2 In 0.5000 0.4111 0.1548
In3 In 0.5000 0.6649 0.6649
Cu1 Cu 0.0000 0.4107 0.4107
Cu2 Cu 0.5000 0.0773 0.7425
Cu3 Cu 0.5000 0.7425 0.0773

no.,total energy (eV per formula unit)
1,-48.6
2,-7.6
3,-33.6
4,-37.0